First-principles (meta-GGA SCAN) data for Mg14AlCoO16 at its PBEsol-relaxed geometry, as listed in Alexandria.

Summary:
- Distance to the lowest polymorph of the same formula: 0.0 meV per atom
- Space group: Pmmm, No. 47
- Formation energy (no corrections): -2.88 eV/atom
- ρ: 3.798 g/cm³

Geometry as CIF:
```
data_Mg14AlCoO16
_cell_length_a 4.1968
_cell_length_b 8.4120
_cell_length_c 8.4483
_cell_angle_alpha 90.00
_cell_angle_beta 90.00
_cell_angle_gamma 90.00
_space_group_name_H-M_alt 'P 1'
_space_group_IT_number 1
loop_
_space_group_symop_operation_xyz
'x,y,z'
loop_
_atom_site_label
_atom_site_fract_x
_atom_site_fract_y
_atom_site_fract_z
Mg1 0.0000 0.5000 0.0000
Mg2 0.0000 0.5000 0.5000
Mg3 0.5000 0.0000 0.2568
Mg4 0.5000 0.0000 0.7432
Mg5 0.5000 0.5000 0.2521
Mg6 0.5000 0.5000 0.7479
Mg7 0.5000 0.2496 0.0000
Mg8 0.5000 0.2458 0.5000
Mg9 0.5000 0.7504 0.0000
Mg10 0.5000 0.7542 0.5000
Mg11 0.0000 0.2472 0.2554
Mg12 0.0000 0.2472 0.7446
Mg13 0.0000 0.7528 0.2554
Mg14 0.0000 0.7528 0.7446
Al1 0.0000 0.0000 0.0000
Co1 0.0000 0.0000 0.5000
O1 0.0000 0.2353 0.0000
O2 0.0000 0.2592 0.5000
O3 0.0000 0.7647 0.0000
O4 0.0000 0.7408 0.5000
O5 0.5000 0.2489 0.2489
O6 0.5000 0.2489 0.7511
O7 0.5000 0.7511 0.2489
O8 0.5000 0.7511 0.7511
O9 0.5000 0.0000 0.0000
O10 0.5000 0.0000 0.5000
O11 0.5000 0.5000 0.0000
O12 0.5000 0.5000 0.5000
O13 0.0000 0.0000 0.2197
O14 0.0000 0.0000 0.7803
O15 0.0000 0.5000 0.2446
O16 0.0000 0.5000 0.7554
```


First-principles (meta-GGA SCAN) data for MnAlCo2 at its PBEsol-relaxed geometry, as listed in Alexandria.

Summary:
- Space group: Fm-3m, No. 225
- ρ: 7.473 g/cm³
- ΔE_f: -0.46 eV/atom

Geometry as CIF:
```
data_MnAlCo2
_cell_length_a 3.9744
_cell_length_b 3.9744
_cell_length_c 3.9744
_cell_angle_alpha 60.00
_cell_angle_beta 60.00
_cell_angle_gamma 60.00
_space_group_name_H-M_alt 'P 1'
_space_group_IT_number 1
loop_
_space_group_symop_operation_xyz
'x,y,z'
loop_
_atom_site_label
_atom_site_fract_x
_atom_site_fract_y
_atom_site_fract_z
Mn1 0.5000 0.5000 0.5000
Co1 0.2500 0.2500 0.2500
Co2 0.7500 0.7500 0.7500
Al1 0.0000 0.0000 0.0000
```


First-principles (meta-GGA SCAN) data for MnAlCo2 at its PBEsol-relaxed geometry, as listed in Alexandria.

Summary:
- Space group: I-42d, No. 122
- ρ: 6.544 g/cm³
- ΔE_f: 0.23 eV/atom

Geometry as CIF:
```
data_MnAlCo2
_cell_length_a 3.4681
_cell_length_b 3.4681
_cell_length_c 8.7798
_cell_angle_alpha 101.39
_cell_angle_beta 101.39
_cell_angle_gamma 90.00
_space_group_name_H-M_alt 'P 1'
_space_group_IT_number 1
loop_
_space_group_symop_operation_xyz
'x,y,z'
loop_
_atom_site_label
_atom_site_fract_x
_atom_site_fract_y
_atom_site_fract_z
Mn1 0.2500 0.7500 0.5000
Mn2 0.0000 0.0000 0.0000
Co1 0.3875 0.8750 0.2500
Co2 0.8625 0.3750 0.2500
Co3 0.1250 0.1375 0.7500
Co4 0.6250 0.6125 0.7500
Al1 0.7500 0.2500 0.5000
Al2 0.5000 0.5000 0.0000
```


First-principles (meta-GGA SCAN) data for MnAlCo2 at its PBEsol-relaxed geometry, as listed in Alexandria.

Summary:
- Space group: Imm2, No. 44
- ρ: 7.328 g/cm³
- ΔE_f: -0.36 eV/atom

Geometry as CIF:
```
data_MnAlCo2
_cell_length_a 2.8757
_cell_length_b 3.9275
_cell_length_c 4.6895
_cell_angle_alpha 114.76
_cell_angle_beta 107.86
_cell_angle_gamma 90.00
_space_group_name_H-M_alt 'P 1'
_space_group_IT_number 1
loop_
_space_group_symop_operation_xyz
'x,y,z'
loop_
_atom_site_label
_atom_site_fract_x
_atom_site_fract_y
_atom_site_fract_z
Mn1 0.4926 0.4926 0.9852
Co1 0.0043 0.0043 0.0085
Co2 0.7491 0.2491 0.4982
Al1 0.2540 0.7540 0.5081
```


First-principles (meta-GGA SCAN) data for AlCoMo2 at its PBEsol-relaxed geometry, as listed in Alexandria.

Summary:
- Space group: Pmmm, No. 47
- ρ: 8.448 g/cm³
- ΔE_f: -0.03 eV/atom

Geometry as CIF:
```
data_AlCoMo2
_cell_length_a 2.6697
_cell_length_b 4.0194
_cell_length_c 5.0884
_cell_angle_alpha 90.00
_cell_angle_beta 90.00
_cell_angle_gamma 90.00
_space_group_name_H-M_alt 'P 1'
_space_group_IT_number 1
loop_
_space_group_symop_operation_xyz
'x,y,z'
loop_
_atom_site_label
_atom_site_fract_x
_atom_site_fract_y
_atom_site_fract_z
Mo1 0.0000 0.0000 0.7456
Mo2 0.0000 0.0000 0.2544
Co1 0.5000 0.5000 0.5000
Al1 0.5000 0.5000 0.0000
```


First-principles (meta-GGA SCAN) data for AlCo2Mo at its PBEsol-relaxed geometry, as listed in Alexandria.

Summary:
- Space group: P4/mmm, No. 123
- ρ: 8.237 g/cm³
- ΔE_f: -0.18 eV/atom

Geometry as CIF:
```
data_AlCo2Mo
_cell_length_a 2.6867
_cell_length_b 4.2506
_cell_length_c 4.2506
_cell_angle_alpha 90.00
_cell_angle_beta 90.00
_cell_angle_gamma 90.00
_space_group_name_H-M_alt 'P 1'
_space_group_IT_number 1
loop_
_space_group_symop_operation_xyz
'x,y,z'
loop_
_atom_site_label
_atom_site_fract_x
_atom_site_fract_y
_atom_site_fract_z
Mo1 0.5000 0.5000 0.5000
Co1 0.0000 0.0000 0.5000
Co2 0.0000 0.5000 0.0000
Al1 0.5000 0.0000 0.0000
```


First-principles (meta-GGA SCAN) data for AlCo2Mo at its PBEsol-relaxed geometry, as listed in Alexandria.

Summary:
- Space group: Cmmm, No. 65
- ρ: 8.260 g/cm³
- ΔE_f: -0.07 eV/atom

Geometry as CIF:
```
data_AlCo2Mo
_cell_length_a 2.6609
_cell_length_b 4.3038
_cell_length_c 4.3038
_cell_angle_alpha 100.86
_cell_angle_beta 90.00
_cell_angle_gamma 90.00
_space_group_name_H-M_alt 'P 1'
_space_group_IT_number 1
loop_
_space_group_symop_operation_xyz
'x,y,z'
loop_
_atom_site_label
_atom_site_fract_x
_atom_site_fract_y
_atom_site_fract_z
Mo1 0.5000 0.0000 0.0000
Co1 0.0000 0.5000 0.0000
Co2 0.0000 0.0000 0.5000
Al1 0.5000 0.5000 0.5000
```


First-principles (meta-GGA SCAN) data for AlCoMo3 at its PBEsol-relaxed geometry, as listed in Alexandria.

Summary:
- Space group: Pm-3m, No. 221
- ρ: 7.129 g/cm³
- ΔE_f: 1.79 eV/atom

Geometry as CIF:
```
data_AlCoMo3
_cell_length_a 4.4320
_cell_length_b 4.4320
_cell_length_c 4.4320
_cell_angle_alpha 90.00
_cell_angle_beta 90.00
_cell_angle_gamma 90.00
_space_group_name_H-M_alt 'P 1'
_space_group_IT_number 1
loop_
_space_group_symop_operation_xyz
'x,y,z'
loop_
_atom_site_label
_atom_site_fract_x
_atom_site_fract_y
_atom_site_fract_z
Mo1 0.0000 0.5000 0.0000
Mo2 0.0000 0.0000 0.5000
Mo3 0.5000 0.0000 0.0000
Co1 0.5000 0.5000 0.5000
Al1 0.0000 0.0000 0.0000
```


Number 1: final energy -8.953 eV/atom. Number 2: final energy -15.613 eV/atom. Number 3: final energy -14.927 eV/atom. Number 4: final energy -15.514 eV/atom. Number 5: final energy -23.742 eV/atom. Number 6: final energy -19.489 eV/atom. Number 7: final energy -19.386 eV/atom. Number 8: final energy -24.153 eV/atom.